A relaxed YZrScCo2 crystal, computed with PBE.

Computed properties:
SG	P4/mmm, No. 123
energy of formation	957	meV per atom

Geometry as POSCAR:
```
YZrScCo2
1.0
4.477 0.000 0.000
0.000 4.477 0.000
0.000 0.000 4.979
Y Zr Sc Co
1 1 1 2
direct
0.000 0.000 0.000
0.500 0.500 0.000
0.000 0.000 0.500
0.000 0.500 0.500
0.500 0.000 0.500
```